The following is a DFT calculation (PBE) of CuH11C6NO5 after structural relaxation.

a b c (Å): 9.281 9.281 15.028
angles (deg): 65.26 65.26 64.81
Fractional coordinates of all 96 atoms:
Cu  0.431  0.730  0.751
Cu  0.270  0.569  0.749
Cu  0.569  0.270  0.249
Cu  0.730  0.431  0.251
H  0.397  0.093  0.665
H  0.907  0.603  0.835
H  0.603  0.907  0.335
H  0.093  0.397  0.165
H  0.465  0.241  0.669
H  0.759  0.535  0.831
H  0.535  0.759  0.331
H  0.241  0.465  0.169
H  0.858  0.475  0.523
H  0.525  0.142  0.977
H  0.142  0.525  0.477
H  0.475  0.858  0.023
H  0.754  0.340  0.533
H  0.660  0.246  0.967
H  0.246  0.660  0.467
H  0.340  0.754  0.033
H  0.718  0.544  0.451
H  0.456  0.282  0.049
H  0.282  0.456  0.549
H  0.544  0.718  0.951
H  0.055  0.135  0.567
H  0.865  0.945  0.933
H  0.945  0.865  0.433
H  0.135  0.055  0.067
H  0.259  0.129  0.483
H  0.871  0.741  0.017
H  0.741  0.871  0.517
H  0.129  0.259  0.983
H  0.145  0.016  0.480
H  0.984  0.855  0.020
H  0.855  0.984  0.520
H  0.016  0.145  0.980
H  0.824  0.974  0.722
H  0.026  0.176  0.778
H  0.176  0.026  0.278
H  0.974  0.824  0.222
H  0.674  0.171  0.736
H  0.829  0.326  0.764
H  0.326  0.829  0.264
H  0.171  0.674  0.236
H  0.677  0.986  0.843
H  0.014  0.323  0.657
H  0.323  0.014  0.157
H  0.986  0.677  0.343
C  0.240  0.905  0.610
C  0.095  0.760  0.890
C  0.760  0.095  0.390
C  0.905  0.240  0.110
C  0.599  0.532  0.609
C  0.468  0.401  0.891
C  0.401  0.468  0.391
C  0.532  0.599  0.109
C  0.742  0.467  0.525
C  0.533  0.258  0.975
C  0.258  0.533  0.475
C  0.467  0.742  0.025
C  0.580  0.994  0.734
C  0.006  0.420  0.766
C  0.420  0.006  0.266
C  0.994  0.580  0.234
C  0.172  0.055  0.529
C  0.945  0.828  0.971
C  0.828  0.945  0.471
C  0.055  0.172  0.029
C  0.695  0.037  0.760
C  0.963  0.305  0.740
C  0.305  0.963  0.240
C  0.037  0.695  0.260
N  0.478  0.120  0.682
N  0.880  0.522  0.818
N  0.522  0.880  0.318
N  0.120  0.478  0.182
O  0.211  0.771  0.631
O  0.229  0.789  0.869
O  0.789  0.229  0.369
O  0.771  0.211  0.131
O  0.478  0.468  0.651
O  0.532  0.522  0.849
O  0.522  0.532  0.349
O  0.468  0.478  0.151
O  0.605  0.646  0.632
O  0.354  0.395  0.868
O  0.395  0.354  0.368
O  0.646  0.605  0.132
O  0.319  0.926  0.654
O  0.074  0.681  0.846
O  0.681  0.074  0.346
O  0.926  0.319  0.154
O  0.585  0.845  0.762
O  0.155  0.415  0.738
O  0.415  0.155  0.238
O  0.845  0.585  0.262

Values from the calculation:
Symmetry = C2/c (15)
Density of states at the Fermi level = 0.034 states/eV per atom
Energy = -570.1 eV for the cell shown

=====

The following is a DFT calculation (PBE) of CuH6CN2O3 after structural relaxation.

a b c (Å): 5.787 7.482 10.907
angles (deg): 90.00 90.00 93.96
Fractional coordinates of all 52 atoms:
Cu  0.864  0.306  0.430
Cu  0.136  0.194  0.930
Cu  0.136  0.694  0.570
Cu  0.864  0.806  0.070
H  0.289  0.230  0.394
H  0.711  0.270  0.894
H  0.711  0.770  0.606
H  0.289  0.730  0.106
H  0.264  0.341  0.522
H  0.736  0.159  0.022
H  0.736  0.659  0.478
H  0.264  0.841  0.978
H  0.198  0.125  0.521
H  0.802  0.375  0.021
H  0.802  0.875  0.479
H  0.198  0.625  0.979
H  0.608  0.154  0.596
H  0.392  0.346  0.096
H  0.392  0.846  0.404
H  0.608  0.654  0.904
H  0.854  0.229  0.658
H  0.146  0.271  0.158
H  0.146  0.771  0.342
H  0.854  0.729  0.842
H  0.646  0.370  0.629
H  0.354  0.130  0.129
H  0.354  0.630  0.371
H  0.646  0.870  0.871
C  0.735  0.963  0.250
C  0.265  0.537  0.750
C  0.265  0.037  0.750
C  0.735  0.463  0.250
N  0.186  0.239  0.470
N  0.814  0.261  0.970
N  0.814  0.761  0.530
N  0.186  0.739  0.030
N  0.729  0.261  0.596
N  0.271  0.239  0.096
N  0.271  0.739  0.404
N  0.729  0.761  0.904
O  0.935  0.390  0.260
O  0.065  0.110  0.760
O  0.065  0.610  0.740
O  0.935  0.890  0.240
O  0.665  0.529  0.151
O  0.335  0.971  0.651
O  0.335  0.471  0.849
O  0.665  0.029  0.349
O  0.615  0.458  0.353
O  0.385  0.042  0.853
O  0.385  0.542  0.647
O  0.615  0.958  0.147

Values from the calculation:
Symmetry = P2_1/c (14)
Energy = -295.2 eV for the cell shown

=====

The following is a DFT calculation (PBE) of CuH14C4N4O8 after structural relaxation.

a b c (Å): 7.296 9.015 9.392
angles (deg): 90.02 90.00 90.00
Fractional coordinates of all 62 atoms:
Cu  0.000  0.000  0.000
Cu  0.500  0.500  0.000
H  0.912  0.573  0.341
H  0.412  0.927  0.659
H  0.088  0.427  0.659
H  0.588  0.073  0.341
H  0.320  0.112  0.528
H  0.820  0.388  0.472
H  0.680  0.888  0.472
H  0.180  0.612  0.528
H  0.953  0.541  0.173
H  0.453  0.959  0.827
H  0.047  0.459  0.827
H  0.547  0.041  0.173
H  0.242  0.527  0.291
H  0.742  0.973  0.709
H  0.758  0.473  0.709
H  0.258  0.027  0.291
H  0.877  0.083  0.632
H  0.377  0.417  0.368
H  0.123  0.917  0.368
H  0.623  0.583  0.632
H  0.010  0.888  0.623
H  0.510  0.612  0.377
H  0.990  0.112  0.377
H  0.490  0.388  0.623
H  0.807  0.282  0.910
H  0.307  0.218  0.090
H  0.193  0.718  0.090
H  0.693  0.782  0.910
C  0.728  0.234  0.999
C  0.228  0.266  0.001
C  0.272  0.766  0.001
C  0.772  0.734  0.999
C  0.901  0.316  0.400
C  0.401  0.184  0.600
C  0.099  0.684  0.600
C  0.599  0.816  0.400
N  0.000  0.518  0.273
N  0.500  0.982  0.727
N  0.000  0.482  0.727
N  0.500  0.018  0.273
N  0.991  0.362  0.292
N  0.491  0.138  0.708
N  0.009  0.638  0.708
N  0.509  0.862  0.292
O  0.765  0.102  0.039
O  0.265  0.398  0.961
O  0.235  0.898  0.961
O  0.735  0.602  0.039
O  0.603  0.308  0.059
O  0.103  0.192  0.941
O  0.397  0.692  0.941
O  0.897  0.808  0.059
O  0.897  0.172  0.438
O  0.397  0.328  0.562
O  0.103  0.828  0.562
O  0.603  0.672  0.438
O  0.877  0.996  0.696
O  0.377  0.504  0.304
O  0.123  0.004  0.304
O  0.623  0.496  0.696

Values from the calculation:
Symmetry = P2_1/c (14)
Energy above the lowest structure with this stoichiometry = 160.1 meV per atom
Density of states at the Fermi level = 0.015 states/eV per atom

=====

The following is a DFT calculation (PBE) of CuH12C3SN6O7 after structural relaxation.

a b c (Å): 8.999 9.526 13.030
angles (deg): 90.00 90.00 90.00
Fractional coordinates of all 120 atoms:
Cu  0.000  0.500  0.000
Cu  0.500  0.500  0.000
Cu  0.000  0.000  0.500
Cu  0.500  0.000  0.500
H  0.140  0.967  0.035
H  0.640  0.033  0.035
H  0.544  0.183  0.067
H  0.044  0.817  0.067
H  0.517  0.780  0.152
H  0.017  0.220  0.152
H  0.736  0.469  0.167
H  0.236  0.531  0.167
H  0.350  0.819  0.213
H  0.850  0.181  0.213
H  0.733  0.891  0.210
H  0.233  0.109  0.210
H  0.733  0.391  0.290
H  0.233  0.609  0.290
H  0.850  0.681  0.287
H  0.350  0.319  0.287
H  0.736  0.969  0.333
H  0.236  0.031  0.333
H  0.517  0.280  0.348
H  0.017  0.720  0.348
H  0.544  0.683  0.433
H  0.044  0.317  0.433
H  0.640  0.533  0.465
H  0.140  0.467  0.465
H  0.860  0.533  0.535
H  0.360  0.467  0.535
H  0.956  0.683  0.567
H  0.456  0.317  0.567
H  0.483  0.720  0.652
H  0.983  0.280  0.652
H  0.764  0.969  0.667
H  0.264  0.031  0.667
H  0.650  0.681  0.713
H  0.150  0.319  0.713
H  0.267  0.609  0.710
H  0.767  0.391  0.710
H  0.767  0.891  0.790
H  0.267  0.109  0.790
H  0.150  0.819  0.787
H  0.650  0.181  0.787
H  0.264  0.531  0.833
H  0.764  0.469  0.833
H  0.983  0.780  0.848
H  0.483  0.220  0.848
H  0.456  0.817  0.933
H  0.956  0.183  0.933
H  0.360  0.967  0.965
H  0.860  0.033  0.965
C  0.250  0.785  0.000
C  0.750  0.215  0.000
C  0.031  0.597  0.217
C  0.531  0.403  0.217
C  0.531  0.903  0.283
C  0.031  0.097  0.283
C  0.250  0.285  0.500
C  0.750  0.715  0.500
C  0.969  0.903  0.717
C  0.469  0.097  0.717
C  0.469  0.597  0.783
C  0.969  0.403  0.783
S  0.750  0.745  0.000
S  0.250  0.255  0.000
S  0.250  0.755  0.500
S  0.750  0.245  0.500
N  0.143  0.862  0.048
N  0.643  0.138  0.048
N  0.460  0.838  0.205
N  0.960  0.162  0.205
N  0.679  0.418  0.224
N  0.179  0.582  0.224
N  0.679  0.918  0.276
N  0.179  0.082  0.276
N  0.960  0.662  0.295
N  0.460  0.338  0.295
N  0.643  0.638  0.452
N  0.143  0.362  0.452
N  0.857  0.638  0.548
N  0.357  0.362  0.548
N  0.540  0.662  0.705
N  0.040  0.338  0.705
N  0.821  0.918  0.724
N  0.321  0.082  0.724
N  0.321  0.582  0.776
N  0.821  0.418  0.776
N  0.040  0.838  0.795
N  0.540  0.162  0.795
N  0.357  0.862  0.952
N  0.857  0.138  0.952
O  0.750  0.347  0.000
O  0.250  0.653  0.000
O  0.634  0.655  0.053
O  0.134  0.345  0.053
O  0.819  0.834  0.080
O  0.319  0.166  0.080
O  0.453  0.450  0.142
O  0.953  0.550  0.142
O  0.453  0.950  0.358
O  0.953  0.050  0.358
O  0.319  0.666  0.420
O  0.819  0.334  0.420
O  0.134  0.845  0.447
O  0.634  0.155  0.447
O  0.250  0.153  0.500
O  0.750  0.847  0.500
O  0.366  0.845  0.553
O  0.866  0.155  0.553
O  0.181  0.666  0.580
O  0.681  0.334  0.580
O  0.047  0.950  0.642
O  0.547  0.050  0.642
O  0.547  0.550  0.858
O  0.047  0.450  0.858
O  0.681  0.834  0.920
O  0.181  0.166  0.920
O  0.866  0.655  0.947
O  0.366  0.345  0.947

Values from the calculation:
Symmetry = Pbcn (60)
Energy = -722.2 eV for the cell shown

=====

The following is a DFT calculation (PBE) of CuNiHRuCSe after structural relaxation.

a b c (Å): 4.591 2.898 13.195
angles (deg): 90.00 109.88 90.00
Fractional coordinates of all 12 atoms:
Cu  0.486  0.000  0.421
Cu  0.486  0.500  0.921
Ni  0.938  0.000  0.108
Ni  0.938  0.500  0.608
H  0.378  0.000  0.976
H  0.378  0.500  0.476
Ru  0.986  0.000  0.922
Ru  0.986  0.500  0.422
C  0.957  0.000  0.517
C  0.957  0.500  0.017
Se  0.754  0.000  0.720
Se  0.754  0.500  0.220

Values from the calculation:
Symmetry = Cm (8)
Energy above the lowest structure with this stoichiometry = 56.0 meV per atom
Density of states at the Fermi level = 0.232 states/eV per atom

=====

The following is a DFT calculation (PBE) of CuNiHRuCSe after structural relaxation.

a b c (Å): 3.248 4.887 5.325
angles (deg): 63.55 82.15 76.66
Fractional coordinates of all 6 atoms:
Cu  0.902  0.124  0.604
Ni  0.589  0.640  0.920
H  0.793  0.338  0.236
Ru  0.126  0.062  0.120
C  0.713  0.920  0.020
Se  0.169  0.585  0.600

Values from the calculation:
Symmetry = P1 (1)
Energy above the lowest structure with this stoichiometry = 91.6 meV per atom
Density of states at the Fermi level = 0.460 states/eV per atom

=====

The following is a DFT calculation (PBE) of CuNiHRuCSe after structural relaxation.

a b c (Å): 3.322 3.654 6.261
angles (deg): 96.67 97.46 91.23
Fractional coordinates of all 6 atoms:
Cu  0.705  0.481  0.921
Ni  0.193  0.952  0.768
H  0.074  0.537  0.222
Ru  0.071  0.027  0.191
C  0.527  0.988  0.028
Se  0.637  0.185  0.538

Values from the calculation:
Symmetry = P1 (1)
Energy above the lowest structure with this stoichiometry = 71.1 meV per atom
Density of states at the Fermi level = 0.335 states/eV per atom

=====

The following is a DFT calculation (PBE) of CuNiHRuCSe after structural relaxation.

a b c (Å): 5.052 2.930 11.002
angles (deg): 90.00 116.02 90.00
Fractional coordinates of all 12 atoms:
Cu  0.120  0.000  0.701
Cu  0.120  0.500  0.201
Ni  0.678  0.000  0.037
Ni  0.678  0.500  0.537
H  0.329  0.000  0.879
H  0.329  0.500  0.379
Ru  0.044  0.000  0.932
Ru  0.044  0.500  0.432
C  0.883  0.000  0.495
C  0.883  0.500  0.995
Se  0.613  0.000  0.705
Se  0.613  0.500  0.205

Values from the calculation:
Symmetry = Cm (8)
Energy above the lowest structure with this stoichiometry = 65.0 meV per atom
Density of states at the Fermi level = 0.311 states/eV per atom

=====

The following is a DFT calculation (PBE) of CuNiHRuCSe after structural relaxation.

a b c (Å): 4.371 2.842 6.647
angles (deg): 90.00 109.21 90.00
Fractional coordinates of all 6 atoms:
Cu  0.389  0.500  0.939
Ni  0.219  0.000  0.255
H  0.555  0.500  0.741
Ru  0.843  0.000  0.858
C  0.047  0.500  0.070
Se  0.779  0.000  0.469

Values from the calculation:
Symmetry = Pm (6)
Energy above the lowest structure with this stoichiometry = 39.9 meV per atom
Density of states at the Fermi level = 0.305 states/eV per atom